Material: Cr2CoHg
Method: DFT, PBE
State: relaxed

Lattice parameters (Å, degrees): 4.6462 4.6462 4.5967 79.38 79.38 35.28
Fractional positions:
Co: 0.2500 0.2500 0.2500
Hg: 0.7500 0.7500 0.7500
Cr: 0.5100 0.5100 0.4268
Cr: 0.9900 0.9900 0.0732

The density of states at the Fermi level comes out at 0.805 states/eV per atom. For the total energy, the calculation gives -24.65 eV per cell. Its formation energy is 0.5008 eV/atom.